[1]
Compound: ZrTcSe2
Source: Alexandria via LeMat-Bulk
Functional: PBE
Structure: optimized geometry

Values from the calculation:
ΔE_f (raw)	-55	meV/atom
calculated volume	75.54	Å³/f.u.
space-group type	No. 12

Unit cell a=5.036 b=5.130 c=3.568 alpha=73.56 beta=82.41 gamma=116.42
Element x y z (fractional)
Se: 0.000 0.000 0.000
Zr: 0.500 0.500 0.000
Se: 0.500 0.000 0.500
Tc: 0.000 0.500 0.500

---

[2]
Compound: Ce2HgAs
Source: Alexandria via LeMat-Bulk
Functional: PBE
Structure: optimized geometry

Values from the calculation:
energy of formation	-0.742	eV/atom
calculated volume	116.58	Å³/f.u.
space-group type	No. 166

Unit cell a=4.141 b=4.141 c=8.207 alpha=75.39 beta=75.39 gamma=60.00
Element x y z (fractional)
Ce: 0.261 0.261 0.218
As: 0.000 0.000 0.000
Ce: 0.739 0.739 0.782
Hg: 0.500 0.500 0.500

---

[3]
Compound: Pr2Dy3Tm4
Source: Alexandria via LeMat-Bulk
Functional: PBE
Structure: optimized geometry

Values from the calculation:
energy of formation	0.089	eV/atom
calculated volume	289.70	Å³/f.u.
space-group type	No. 12

Unit cell a=5.650 b=6.451 c=12.887 alpha=130.85 beta=90.00 gamma=115.97
Element x y z (fractional)
Dy: 0.576 0.152 0.687
Tm: 0.135 0.271 0.365
Pr: 0.283 0.566 0.712
Tm: 0.717 0.435 0.037
Dy: 0.000 0.000 0.000
Tm: 0.865 0.729 0.635
Tm: 0.283 0.565 0.963
Dy: 0.424 0.848 0.313
Pr: 0.717 0.434 0.288